# 1
First-principles (PBE-GGA) data for a geometry-optimized Ba2NiRu structure, as listed in Alexandria.

abc: 8.930 8.930 8.930
angles: 25.66 25.66 25.66
Last column: magnetic moment on the atom in μB.
Fractional coordinates of all 4 atoms:
Ba 0.502 0.502 0.502  -0.04
Ba 0.998 0.998 0.998  -0.04
Ni 0.250 0.250 0.250  0.24
Ru 0.750 0.750 0.750  1.01

Output
Total magnetization: 0.289 μB per atom
Energy above the most stable polymorph in this dataset: 261 kJ/mol of formula units
Density: 6.13 g/cm³

# 2
First-principles (PBE-GGA) data for a geometry-optimized TiAlSnP2 structure, as listed in Alexandria.

abc: 4.667 5.399 4.667
angles: 90.00 90.00 90.00
Fractional coordinates of all 5 atoms:
P 0.500 0.000 0.000
Al 0.500 0.500 0.500
P 0.000 0.000 0.500
Ti 0.000 0.000 0.000
Sn 0.000 0.500 0.000

Output
Electronic total energy: -25.041 eV for the cell shown
Total magnetization: 0.000 μB per atom
Density: 3.61 g/cm³

# 3
First-principles (PBE-GGA) data for a geometry-optimized Y4Te2CSe structure, as listed in Alexandria.

abc: 4.003 7.358 7.097
angles: 71.77 90.00 90.00
Fractional coordinates of all 8 atoms:
Se 0.500 0.500 0.000
Y 0.000 0.297 0.272
Y 0.500 0.305 0.705
Y 0.000 0.703 0.728
C 0.000 0.500 0.500
Y 0.500 0.695 0.295
Te 0.500 0.000 0.500
Te 0.000 0.000 0.000

Output
Formation energy from raw total energies: -1.2512 eV per atom
Total magnetization: 0.000 μB per atom
Density: 5.87 g/cm³

# 4
First-principles (PBE-GGA) data for a geometry-optimized Sm6Y3Tl structure, as listed in Alexandria.

abc: 6.371 11.432 11.432
angles: 128.91 90.00 90.00
Fractional coordinates of all 20 atoms:
Y 0.082 0.413 0.587
Sm 0.342 0.469 0.902
Sm 0.055 0.373 0.262
Sm 0.282 0.714 0.286
Sm 0.312 0.982 0.018
Sm 0.782 0.286 0.714
Sm 0.812 0.018 0.982
Y 0.483 0.958 0.703
Sm 0.555 0.627 0.738
Sm 0.342 0.098 0.531
Sm 0.055 0.738 0.627
Tl 0.050 0.154 0.846
Y 0.983 0.703 0.958
Sm 0.842 0.902 0.469
Y 0.983 0.042 0.297
Sm 0.555 0.262 0.373
Tl 0.550 0.846 0.154
Y 0.483 0.297 0.042
Sm 0.842 0.531 0.098
Y 0.582 0.587 0.413

Output
Electronic total energy: -99.624 eV for the cell shown
Total magnetization: 0.000 μB per atom
Density: 7.04 g/cm³